# 1
Compound: ScBeCr
Source: Alexandria via LeMat-Bulk
Functional: meta-GGA SCAN
Structure: single point on PBEsol structure

Cell and atoms, written as POSCAR:
```
ScBeCr
1.0
-1.3364 1.3364 5.5800
1.3364 -1.3364 5.5800
1.3364 1.3364 -5.5800
Sc Be Cr
1 1 1
direct
0.0000 0.0000 0.0000
0.6786 0.6786 0.0000
0.3092 0.3092 0.0000
```

Output
formation energy from the elements	363	meV per atom
spin magnetization	0.0	μB/cell
total energy	-11.962	eV per atom
SG	I4mm (107)


# 2
Compound: ScBe4Cr
Source: Alexandria via LeMat-Bulk
Functional: meta-GGA SCAN
Structure: single point on PBEsol structure

Cell and atoms, written as POSCAR:
```
ScBe4Cr
1.0
0.0000 3.1907 3.1907
3.1907 0.0000 3.1907
3.1907 3.1907 0.0000
Sc Be Cr
1 4 1
direct
0.0000 0.0000 0.0000
0.3764 0.3764 0.3764
0.3764 0.3764 0.8707
0.3764 0.8707 0.3764
0.8707 0.3764 0.3764
0.7500 0.7500 0.7500
```

Output
formation energy from the elements	-201	meV per atom
spin magnetization	3.0	μB/cell
total energy	-8.540	eV per atom
SG	F-43m (216)


# 3
Compound: ScBeCr2
Source: Alexandria via LeMat-Bulk
Functional: meta-GGA SCAN
Structure: single point on PBEsol structure

Cell and atoms, written as POSCAR:
```
ScBeCr2
1.0
1.5111 -2.0638 0.0000
1.5111 2.0638 0.0000
0.0000 0.0000 8.0934
Sc Be Cr
1 1 2
direct
0.0000 0.0000 0.0000
0.5000 0.5000 0.2755
0.0000 0.0000 0.4920
0.5000 0.5000 0.7164
```

Output
formation energy from the elements	407	meV per atom
spin magnetization	0.0	μB/cell
total energy	-13.433	eV per atom
SG	Cmm2 (35)


# 4
Compound: ScBeCr
Source: Alexandria via LeMat-Bulk
Functional: meta-GGA SCAN
Structure: single point on PBEsol structure

Cell and atoms, written as POSCAR:
```
ScBeCr
1.0
4.0327 0.0000 0.0000
-2.0164 3.4924 0.0000
0.0000 0.0000 3.1679
Sc Be Cr
1 1 1
direct
0.0000 0.0000 0.0000
0.3333 0.6667 0.5000
0.6667 0.3333 0.5000
```

Output
formation energy from the elements	144	meV per atom
spin magnetization	2.7	μB/cell
total energy	-12.181	eV per atom
SG	P-6m2 (187)


# 5
Compound: ScBeCr2Se
Source: Alexandria via LeMat-Bulk
Functional: meta-GGA SCAN
Structure: single point on PBEsol structure

Cell and atoms, written as POSCAR:
```
ScBeCr2Se
1.0
4.2001 0.0000 0.0000
0.0000 4.2001 0.0000
0.0000 0.0000 4.3504
Sc Be Cr Se
1 1 2 1
direct
0.0000 0.0000 0.0000
0.5000 0.5000 0.5000
0.0000 0.5000 0.5000
0.5000 0.0000 0.5000
0.5000 0.5000 0.0000
```

Output
spin magnetization	6.7	μB/cell
total energy	-14.613	eV per atom
E_form (uncorrected)	2.37	eV/f.u.
SG	P4/mmm (123)


# 6
Compound: Be2CrSe
Source: Alexandria via LeMat-Bulk
Functional: meta-GGA SCAN
Structure: single point on PBEsol structure

Cell and atoms, written as POSCAR:
```
Be2CrSe
1.0
2.9958 0.0000 0.0000
0.0000 3.3675 0.0000
-0.0126 0.0000 4.8079
Be Cr Se
2 1 1
direct
0.0015 0.0000 0.2034
0.9985 0.0000 0.7966
0.5000 0.5000 0.0000
0.0000 0.5000 0.5000
```

Output
spin magnetization	2.3	μB/cell
total energy	-11.575	eV per atom
E_form (uncorrected)	0.87	eV/f.u.
SG	P2/m (10)


# 7
Compound: BeCr2Se
Source: Alexandria via LeMat-Bulk
Functional: meta-GGA SCAN
Structure: single point on PBEsol structure

Cell and atoms, written as POSCAR:
```
BeCr2Se
1.0
3.9998 0.0000 0.0000
0.0000 3.9998 0.0000
0.0000 0.0000 2.9239
Be Cr Se
1 2 1
direct
0.0000 0.0000 0.0000
0.0000 0.5000 0.5000
0.5000 0.0000 0.5000
0.5000 0.5000 0.0000
```

Output
spin magnetization	4.4	μB/cell
total energy	-15.058	eV per atom
E_form (uncorrected)	0.97	eV/f.u.
SG	P4/mmm (123)


# 8
Compound: Be2CrSe
Source: Alexandria via LeMat-Bulk
Functional: meta-GGA SCAN
Structure: single point on PBEsol structure

Cell and atoms, written as POSCAR:
```
Be2CrSe
1.0
2.7792 0.0000 0.0000
0.0000 2.7792 0.0000
0.0000 0.0000 7.3586
Be Cr Se
2 1 1
direct
0.0000 0.0000 0.0000
0.5000 0.5000 0.1335
0.0000 0.0000 0.3348
0.5000 0.5000 0.5241
```

Output
spin magnetization	0.3	μB/cell
total energy	-11.451	eV per atom
E_form (uncorrected)	1.37	eV/f.u.
SG	P4mm (99)


# 9
Compound: BeCr2Se
Source: Alexandria via LeMat-Bulk
Functional: meta-GGA SCAN
Structure: single point on PBEsol structure

Cell and atoms, written as POSCAR:
```
BeCr2Se
1.0
-1.7554 1.7554 3.8230
1.7554 -1.7554 3.8230
1.7554 1.7554 -3.8230
Be Cr Se
1 2 1
direct
0.0000 0.0000 0.0000
0.5000 0.5000 0.0000
0.7500 0.2500 0.5000
0.2500 0.7500 0.5000
```

Output
spin magnetization	0.3	μB/cell
total energy	-15.157	eV per atom
E_form (uncorrected)	0.57	eV/f.u.
SG	I-4m2 (119)


# 10
Compound: BeCrSe4
Source: Alexandria via LeMat-Bulk
Functional: meta-GGA SCAN
Structure: single point on PBEsol structure

Cell and atoms, written as POSCAR:
```
BeCrSe4
1.0
0.0000 3.9329 3.9329
3.9329 0.0000 3.9329
3.9329 3.9329 0.0000
Be Cr Se
1 1 4
direct
0.0000 0.0000 0.0000
0.7500 0.7500 0.7500
0.3745 0.3745 0.3745
0.3745 0.3745 0.8766
0.3745 0.8766 0.3745
0.8766 0.3745 0.3745
```

Output
spin magnetization	4.0	μB/cell
total energy	-16.244	eV per atom
E_form (uncorrected)	5.59	eV/f.u.
SG	F-43m (216)


# 11
Compound: BeCrTcSe2
Source: Alexandria via LeMat-Bulk
Functional: meta-GGA SCAN
Structure: single point on PBEsol structure

Cell and atoms, written as POSCAR:
```
BeCrTcSe2
1.0
4.7855 0.0000 0.0000
0.0000 4.7855 0.0000
0.0000 0.0000 4.1705
Be Cr Tc Se
1 1 1 2
direct
0.0000 0.0000 0.0000
0.5000 0.5000 0.0000
0.0000 0.0000 0.5000
0.0000 0.5000 0.5000
0.5000 0.0000 0.5000
```

Output
spin magnetization	5.3	μB/cell
total energy	-19.072	eV per atom
E_form (uncorrected)	2.59	eV/f.u.
SG	P4/mmm (123)


# 12
Compound: BeCr3Si
Source: Alexandria via LeMat-Bulk
Functional: meta-GGA SCAN
Structure: single point on PBEsol structure

Cell and atoms, written as POSCAR:
```
BeCr3Si
1.0
3.8662 0.0000 0.0000
0.0000 3.8662 0.0000
0.0000 0.0000 3.8662
Be Cr Si
1 3 1
direct
0.0000 0.0000 0.0000
0.0000 0.0000 0.5000
0.0000 0.5000 0.0000
0.5000 0.0000 0.0000
0.5000 0.5000 0.5000
```

Output
spin magnetization	0.0	μB/cell
total energy	-13.107	eV per atom
E_form (uncorrected)	3.99	eV/f.u.
SG	Pm-3m (221)


# 13
Compound: BeCr2Si
Source: Alexandria via LeMat-Bulk
Functional: meta-GGA SCAN
Structure: single point on PBEsol structure

Cell and atoms, written as POSCAR:
```
BeCr2Si
1.0
0.0000 2.7448 2.7448
2.7448 0.0000 2.7448
2.7448 2.7448 0.0000
Be Cr Si
1 2 1
direct
0.0000 0.0000 0.0000
0.5000 0.5000 0.5000
0.7500 0.7500 0.7500
0.2500 0.2500 0.2500
```

Output
spin magnetization	0.0	μB/cell
total energy	-12.939	eV per atom
E_form (uncorrected)	-0.62	eV/f.u.
SG	F-43m (216)


# 14
Compound: TiBe2CrSi
Source: Alexandria via LeMat-Bulk
Functional: meta-GGA SCAN
Structure: single point on PBEsol structure

Cell and atoms, written as POSCAR:
```
TiBe2CrSi
1.0
4.1469 0.0000 0.0000
0.0000 4.1469 0.0000
0.0000 0.0000 4.0958
Ti Be Cr Si
1 2 1 1
direct
0.0000 0.0000 0.0000
0.0000 0.5000 0.5000
0.5000 0.0000 0.5000
0.0000 0.0000 0.5000
0.5000 0.5000 0.0000
```

Output
spin magnetization	0.6	μB/cell
total energy	-9.652	eV per atom
E_form (uncorrected)	4.88	eV/f.u.
SG	P4/mmm (123)


# 15
Compound: Be3CrSn
Source: Alexandria via LeMat-Bulk
Functional: meta-GGA SCAN
Structure: single point on PBEsol structure

Cell and atoms, written as POSCAR:
```
Be3CrSn
1.0
4.1765 0.0000 0.0000
0.0000 4.1765 0.0000
0.0000 0.0000 4.1765
Be Cr Sn
3 1 1
direct
0.0000 0.0000 0.5000
0.0000 0.5000 0.0000
0.5000 0.0000 0.0000
0.0000 0.0000 0.0000
0.5000 0.5000 0.5000
```

Output
formation energy from the elements	1093	meV per atom
spin magnetization	1.8	μB/cell
total energy	-12.380	eV per atom
SG	Pm-3m (221)


# 16
Compound: BeCrSn3
Source: Alexandria via LeMat-Bulk
Functional: meta-GGA SCAN
Structure: single point on PBEsol structure

Cell and atoms, written as POSCAR:
```
BeCrSn3
1.0
4.9570 0.0000 0.0000
0.0000 4.9570 0.0000
0.0000 0.0000 4.9570
Be Cr Sn
1 1 3
direct
0.0000 0.0000 0.0000
0.5000 0.5000 0.5000
0.0000 0.5000 0.5000
0.5000 0.0000 0.5000
0.5000 0.5000 0.0000
```

Output
formation energy from the elements	755	meV per atom
spin magnetization	0.0	μB/cell
total energy	-25.345	eV per atom
SG	Pm-3m (221)


# 17
Compound: SrBe2Cr
Source: Alexandria via LeMat-Bulk
Functional: meta-GGA SCAN
Structure: single point on PBEsol structure

Cell and atoms, written as POSCAR:
```
SrBe2Cr
1.0
3.1841 -3.4416 0.0000
3.1841 3.4416 0.0000
0.0000 0.0000 2.6697
Sr Be Cr
1 2 1
direct
0.0000 0.0000 0.0000
0.0000 0.5000 0.5000
0.5000 0.0000 0.5000
0.5000 0.5000 0.0000
```

Output
formation energy from the elements	961	meV per atom
spin magnetization	3.1	μB/cell
total energy	-11.381	eV per atom
SG	Cmmm (65)


# 18
Compound: SrBe2Cr
Source: Alexandria via LeMat-Bulk
Functional: meta-GGA SCAN
Structure: single point on PBEsol structure

Cell and atoms, written as POSCAR:
```
SrBe2Cr
1.0
3.1038 0.0000 0.0000
0.0000 3.7049 0.0000
-1.5610 0.0000 5.9656
Sr Be Cr
1 2 1
direct
0.0000 0.0000 0.0000
0.6554 0.5000 0.3099
0.7490 0.0000 0.4947
0.2929 0.5000 0.5825
```

Output
formation energy from the elements	457	meV per atom
spin magnetization	3.3	μB/cell
total energy	-11.885	eV per atom
SG	Pm (6)


# 19
Compound: SrBe2Cr
Source: Alexandria via LeMat-Bulk
Functional: meta-GGA SCAN
Structure: single point on PBEsol structure

Cell and atoms, written as POSCAR:
```
SrBe2Cr
1.0
3.0110 0.0000 0.0000
0.0000 3.0110 0.0000
0.0000 0.0000 7.1837
Sr Be Cr
1 2 1
direct
0.0000 0.0000 0.0000
0.0000 0.0000 0.4732
0.5000 0.5000 0.3266
0.5000 0.5000 0.6463
```

Output
formation energy from the elements	584	meV per atom
spin magnetization	4.3	μB/cell
total energy	-11.758	eV per atom
SG	P4mm (99)


# 20
Compound: Sr3BeCr
Source: Alexandria via LeMat-Bulk
Functional: meta-GGA SCAN
Structure: single point on PBEsol structure

Cell and atoms, written as POSCAR:
```
Sr3BeCr
1.0
5.8024 0.0000 0.0000
0.0000 5.8024 0.0000
0.0000 0.0000 5.8024
Sr Be Cr
3 1 1
direct
0.0000 0.0000 0.5000
0.0000 0.5000 0.0000
0.5000 0.0000 0.0000
0.0000 0.0000 0.0000
0.5000 0.5000 0.5000
```

Output
formation energy from the elements	599	meV per atom
spin magnetization	4.6	μB/cell
total energy	-17.314	eV per atom
SG	Pm-3m (221)


# 21
Compound: SrBe4Cr
Source: Alexandria via LeMat-Bulk
Functional: meta-GGA SCAN
Structure: single point on PBEsol structure

Cell and atoms, written as POSCAR:
```
SrBe4Cr
1.0
0.0000 3.4235 3.4235
3.4235 0.0000 3.4235
3.4235 3.4235 0.0000
Sr Be Cr
1 4 1
direct
0.0000 0.0000 0.0000
0.1425 0.6192 0.6192
0.6192 0.1425 0.6192
0.6192 0.6192 0.1425
0.6192 0.6192 0.6192
0.2500 0.2500 0.2500
```

Output
formation energy from the elements	374	meV per atom
spin magnetization	3.9	μB/cell
total energy	-9.305	eV per atom
SG	F-43m (216)


# 22
Compound: Ta2Be2Cr
Source: Alexandria via LeMat-Bulk
Functional: meta-GGA SCAN
Structure: single point on PBEsol structure

Cell and atoms, written as POSCAR:
```
Ta2Be2Cr
1.0
6.1654 0.0000 0.0000
0.0000 6.1654 0.0000
0.0000 0.0000 3.2709
Ta Be Cr
4 4 2
direct
0.1805 0.3195 0.0000
0.3195 0.8195 0.0000
0.6805 0.1805 0.0000
0.8195 0.6805 0.0000
0.1179 0.6179 0.5000
0.3821 0.1179 0.5000
0.6179 0.8821 0.5000
0.8821 0.3821 0.5000
0.0000 0.0000 0.5000
0.5000 0.5000 0.5000
```

Output
formation energy from the elements	-117	meV per atom
spin magnetization	0.0	μB/cell
total energy	-32.168	eV per atom
SG	P4/mbm (127)


# 23
Compound: TaBe4Cr
Source: Alexandria via LeMat-Bulk
Functional: meta-GGA SCAN
Structure: single point on PBEsol structure

Cell and atoms, written as POSCAR:
```
TaBe4Cr
1.0
0.0000 3.0999 3.0999
3.0999 0.0000 3.0999
3.0999 3.0999 0.0000
Ta Be Cr
1 4 1
direct
0.0000 0.0000 0.0000
0.1287 0.6238 0.6238
0.6238 0.1287 0.6238
0.6238 0.6238 0.1287
0.6238 0.6238 0.6238
0.2500 0.2500 0.2500
```

Output
formation energy from the elements	-225	meV per atom
spin magnetization	0.8	μB/cell
total energy	-17.288	eV per atom
SG	F-43m (216)


# 24
Compound: Ta2BeCrW
Source: Alexandria via LeMat-Bulk
Functional: meta-GGA SCAN
Structure: single point on PBEsol structure

Cell and atoms, written as POSCAR:
```
Ta2BeCrW
1.0
4.8045 0.0000 0.0000
0.0000 4.8045 0.0000
0.0000 0.0000 4.3505
Ta Be Cr W
2 1 1 1
direct
0.0000 0.5000 0.0000
0.5000 0.0000 0.0000
0.0000 0.0000 0.5000
0.5000 0.5000 0.5000
0.0000 0.0000 0.0000
```

Output
formation energy from the elements	1547	meV per atom
spin magnetization	3.9	μB/cell
total energy	-43.571	eV per atom
SG	P4/mmm (123)


# 25
Compound: Be4CrTc
Source: Alexandria via LeMat-Bulk
Functional: meta-GGA SCAN
Structure: single point on PBEsol structure

Cell and atoms, written as POSCAR:
```
Be4CrTc
1.0
0.0000 3.0015 3.0015
3.0015 0.0000 3.0015
3.0015 3.0015 0.0000
Be Cr Tc
4 1 1
direct
0.1248 0.1248 0.1248
0.1248 0.1248 0.6256
0.1248 0.6256 0.1248
0.6256 0.1248 0.1248
0.7500 0.7500 0.7500
0.5000 0.5000 0.5000
```

Output
formation energy from the elements	-350	meV per atom
spin magnetization	0.0	μB/cell
total energy	-12.160	eV per atom
SG	F-43m (216)


# 26
Compound: BeCrTeW2
Source: Alexandria via LeMat-Bulk
Functional: meta-GGA SCAN
Structure: single point on PBEsol structure

Cell and atoms, written as POSCAR:
```
BeCrTeW2
1.0
4.8522 0.0000 0.0000
0.0000 4.8522 0.0000
0.0000 0.0000 4.6708
Be Cr Te W
1 1 1 2
direct
0.0000 0.0000 0.0000
0.5000 0.5000 0.0000
0.5000 0.5000 0.5000
0.0000 0.5000 0.5000
0.5000 0.0000 0.5000
```

Output
spin magnetization	1.8	μB/cell
total energy	-37.381	eV per atom
E_form (uncorrected)	12.46	eV/f.u.
SG	P4/mmm (123)


# 27
Compound: TiBe3Cr
Source: Alexandria via LeMat-Bulk
Functional: meta-GGA SCAN
Structure: single point on PBEsol structure

Cell and atoms, written as POSCAR:
```
TiBe3Cr
1.0
3.9281 0.0000 0.0000
0.0000 3.9281 0.0000
0.0000 0.0000 3.9281
Ti Be Cr
1 3 1
direct
0.0000 0.0000 0.0000
0.0000 0.5000 0.5000
0.5000 0.0000 0.5000
0.5000 0.5000 0.0000
0.5000 0.5000 0.5000
```

Output
formation energy from the elements	713	meV per atom
spin magnetization	0.0	μB/cell
total energy	-8.782	eV per atom
SG	Pm-3m (221)


# 28
Compound: Be2TlCr
Source: Alexandria via LeMat-Bulk
Functional: meta-GGA SCAN
Structure: single point on PBEsol structure

Cell and atoms, written as POSCAR:
```
Be2TlCr
1.0
4.1454 -1.3694 0.0000
4.1454 1.3694 0.0000
-0.7054 0.0000 4.7508
Be Tl Cr
2 1 1
direct
0.2306 0.2306 0.1577
0.7694 0.7694 0.8423
0.0000 0.0000 0.5000
0.5000 0.5000 0.0000
```

Output
formation energy from the elements	624	meV per atom
spin magnetization	0.0	μB/cell
total energy	-24.239	eV per atom
SG	C2/m (12)


# 29
Compound: BeTl4Cr
Source: Alexandria via LeMat-Bulk
Functional: meta-GGA SCAN
Structure: single point on PBEsol structure

Cell and atoms, written as POSCAR:
```
BeTl4Cr
1.0
0.0000 4.3046 4.3046
4.3046 0.0000 4.3046
4.3046 4.3046 0.0000
Be Tl Cr
1 4 1
direct
0.0000 0.0000 0.0000
0.3750 0.3750 0.3750
0.3750 0.3750 0.8749
0.3750 0.8749 0.3750
0.8749 0.3750 0.3750
0.7500 0.7500 0.7500
```

Output
formation energy from the elements	845	meV per atom
spin magnetization	4.6	μB/cell
total energy	-51.183	eV per atom
SG	F-43m (216)


| no. | D(E_F) (states/eV/atom) |
| --- | --- |
| 1 | 0.8221 |
| 2 | 0.0960 |
| 3 | 1.0754 |
| 4 | 0.7076 |
| 5 | 0.7918 |
| 6 | 0.4343 |
| 7 | 0.5280 |
| 8 | 0.4828 |
| 9 | 0.4248 |
| 10 | 0.5305 |
| 11 | 0.7176 |
| 12 | 0.9658 |
| 13 | 0.1999 |
| 14 | 0.5583 |
| 15 | 0.4633 |
| 16 | 0.1250 |
| 17 | 0.4897 |
| 18 | 0.4793 |
| 19 | 0.4029 |
| 20 | 0.7412 |
| 21 | 0.3732 |
| 22 | 0.5085 |
| 23 | 0.2261 |
| 24 | 1.0063 |
| 25 | 0.2632 |
| 26 | 0.9614 |
| 27 | 0.2316 |
| 28 | 0.4083 |
| 29 | 0.4050 |